[1]
This record from Alexandria via LeMat-Bulk describes an optimized crystal structure of TiSnPb3. The functional is GGA-PBE.

Values from the calculation:
- offset from the most stable computed form (eV/f.u.) = 3.92
- SG = Pm-3m
- calculated density (Mg/m³) = 7.003
- formation energy (eV/atom) = 1.124

Cell: 5.717 5.717 5.717 Å, 90.00 90.00 90.00°
Atoms (fractional coordinates):
Ti  0.000  0.000  0.000
Sn  0.500  0.500  0.500
Pb  0.000  0.500  0.500
Pb  0.500  0.000  0.500
Pb  0.500  0.500  0.000

***

[2]
This record from Alexandria via LeMat-Bulk describes an optimized crystal structure of TiSnPb. The functional is GGA-PBE.

Values from the calculation:
- SG = Cmce
- calculated density (Mg/m³) = 8.425
- formation energy (eV/atom) = 0.072

Cell: 7.647 7.647 6.864 Å, 90.00 90.00 132.76°
Atoms (fractional coordinates):
Ti  0.100  0.900  0.903
Ti  0.400  0.600  0.403
Ti  0.600  0.400  0.597
Ti  0.900  0.100  0.097
Sn  0.211  0.789  0.568
Sn  0.289  0.711  0.068
Sn  0.711  0.289  0.932
Sn  0.789  0.211  0.432
Pb  0.186  0.314  0.750
Pb  0.314  0.186  0.250
Pb  0.686  0.814  0.750
Pb  0.814  0.686  0.250

***

[3]
This record from Alexandria via LeMat-Bulk describes an optimized crystal structure of Ti2SnPb. The functional is GGA-PBE.

Values from the calculation:
- offset from the most stable computed form (eV/f.u.) = 0.67
- SG = I-42d
- calculated density (Mg/m³) = 7.874
- formation energy (eV/atom) = 0.166

Cell: 6.198 6.198 6.198 Å, 104.11 104.11 120.82°
Atoms (fractional coordinates):
Ti  0.120  0.625  0.995
Ti  0.375  0.370  0.495
Ti  0.630  0.125  0.005
Ti  0.875  0.880  0.505
Sn  0.000  0.000  0.000
Sn  0.750  0.250  0.500
Pb  0.250  0.750  0.500
Pb  0.500  0.500  0.000

***

[4]
This record from Alexandria via LeMat-Bulk describes an optimized crystal structure of TiSnPb3. The functional is GGA-PBE.

Values from the calculation:
- offset from the most stable computed form (eV/f.u.) = 0.00
- SG = Pm-3m
- calculated density (Mg/m³) = 8.121
- formation energy (eV/atom) = 0.340

Cell: 5.442 5.442 5.442 Å, 90.00 90.00 90.00°
Atoms (fractional coordinates):
Ti  0.000  0.000  0.000
Sn  0.500  0.500  0.500
Pb  0.000  0.000  0.500
Pb  0.000  0.500  0.000
Pb  0.500  0.000  0.000

***

[5]
This record from Alexandria via LeMat-Bulk describes an optimized crystal structure of Ti2SnPb. The functional is GGA-PBE.

Values from the calculation:
- offset from the most stable computed form (eV/f.u.) = 0.03
- SG = R3m
- calculated density (Mg/m³) = 8.392
- formation energy (eV/atom) = 0.005

Cell: 9.546 9.546 9.546 Å, 19.34 19.34 19.34°
Atoms (fractional coordinates):
Ti  0.000  0.000  0.000
Ti  0.169  0.169  0.169
Sn  0.585  0.585  0.585
Pb  0.751  0.751  0.751

***

[6]
This record from Alexandria via LeMat-Bulk describes an optimized crystal structure of Ti12SnPb3. The functional is GGA-PBE.

Values from the calculation:
- SG = Pmmm
- calculated density (Mg/m³) = 7.423
- formation energy (eV/atom) = -0.120

Cell: 5.278 5.278 10.557 Å, 90.00 90.00 90.00°
Atoms (fractional coordinates):
Ti  0.000  0.000  0.124
Ti  0.000  0.000  0.375
Ti  0.000  0.000  0.625
Ti  0.000  0.000  0.876
Ti  0.249  0.500  0.247
Ti  0.249  0.500  0.753
Ti  0.500  0.249  0.500
Ti  0.500  0.252  0.000
Ti  0.500  0.748  0.000
Ti  0.500  0.751  0.500
Ti  0.751  0.500  0.247
Ti  0.751  0.500  0.753
Sn  0.000  0.500  0.000
Pb  0.000  0.500  0.500
Pb  0.500  0.000  0.250
Pb  0.500  0.000  0.750

***

Number 1: DFT total energy -17.4 eV/cell, total magnetization 0.0 μB/cell. Number 2: DFT total energy -61.6 eV/cell, total magnetization 0.0 μB/cell. Number 3: DFT total energy -45.7 eV/cell, total magnetization 0.0 μB/cell. Number 4: DFT total energy -21.3 eV/cell, total magnetization 0.0 μB/cell. Number 5: DFT total energy -23.5 eV/cell, total magnetization 0.0 μB/cell. Number 6: DFT total energy -111.8 eV/cell, total magnetization 3.1 μB/cell.